# 1
This record from the Alexandria database describes La2BiNF after structural relaxation. The functional is PBE-GGA.

Unit cell a=4.0982 b=4.0982 c=14.4199 alpha=90.00 beta=90.00 gamma=90.00
Space group I-4m2 (No. 119)
Unique sites:
La1 0.0000 0.0000 0.1610 (multiplicity 4)
Bi1 0.0000 0.0000 0.5000 (multiplicity 2)
N1 0.0000 0.5000 0.2500 (multiplicity 2)
F1 0.0000 0.5000 0.7500 (multiplicity 2)

# 2
This record from the Alexandria database describes MgCdAg2Br6 after structural relaxation. The functional is PBE-GGA.

Unit cell a=7.1132 b=7.1132 c=18.9638 alpha=90.00 beta=90.00 gamma=120.00
Space group R3 (No. 146, hexagonal axes)
Unique sites:
Mg1 0.0000 0.0000 0.0000 (multiplicity 3)
Cd1 0.0000 0.0000 0.5029 (multiplicity 3)
Ag1 0.0000 0.0000 0.3007 (multiplicity 3)
Ag2 0.0000 0.0000 0.7957 (multiplicity 3)
Br1 0.0321 0.3369 0.0747 (multiplicity 9)
Br2 0.0382 0.6830 0.5770 (multiplicity 9)

| no. | electronic total energy (eV/atom) |
| --- | --- |
| 1 | -6.7451 |
| 2 | -2.6030 |